# 1
Density functional theory data (GGA-PBE) for a geometry-optimized MgOs2 structure.

## Properties
Calculated formation energy ... 63 kJ/mol of formula units
E_tot ... -7.80 eV per atom

Cell: 10.266 2.789 6.545 Å, 90.00 105.27 90.00°
Space group Cm (No. 8)
Unique sites:
Mg 0.000 0.000 0.000 [2 per cell]
Mg 0.159 0.500 0.354 [2 per cell]
Os 0.121 0.500 0.734 [2 per cell]
Os 0.285 0.000 0.085 [2 per cell]
Os 0.332 0.000 0.693 [2 per cell]
Os 0.432 0.500 0.425 [2 per cell]

# 2
Density functional theory data (GGA-PBE) for a geometry-optimized BC2 structure.

## Properties
Calculated formation energy ... 106 kJ/mol of formula units
E_tot ... -8.01 eV per atom

Cell: 3.637 4.535 5.308 Å, 106.50 91.76 112.15°
Space group P1 (No. 1)
Unique sites:
B 0.000 0.000 0.000 [1 per cell]
B 0.121 0.601 0.879 [1 per cell]
B 0.421 0.281 0.550 [1 per cell]
B 0.693 0.260 0.851 [1 per cell]
C 0.010 0.937 0.485 [1 per cell]
C 0.102 0.617 0.397 [1 per cell]
C 0.355 0.627 0.642 [1 per cell]
C 0.356 0.627 0.163 [1 per cell]
C 0.439 0.300 0.085 [1 per cell]
C 0.701 0.290 0.320 [1 per cell]
C 0.763 0.952 0.245 [1 per cell]
C 0.764 0.921 0.715 [1 per cell]

# 3
Density functional theory data (GGA-PBE) for a geometry-optimized RbSb2Pt structure.

## Properties
E_tot ... -4.14 eV per atom
Raw formation energy ... -0.325 eV per atom

Cell: 5.087 9.692 18.158 Å, 90.00 90.00 90.00°
Space group Immm (No. 71)
Unique sites:
Rb 0.000 0.000 0.199 [4 per cell]
Rb 0.000 0.248 0.000 [4 per cell]
Sb 0.000 0.000 0.418 [4 per cell]
Sb 0.000 0.342 0.201 [8 per cell]
Sb 0.000 0.500 0.422 [4 per cell]
Pt 0.000 0.244 0.345 [8 per cell]

# 4
Density functional theory data (GGA-PBE) for a geometry-optimized NdUAsO2 structure.

## Properties
E_tot ... -8.57 eV per atom
Raw formation energy ... -2.450 eV per atom

Cell: 3.839 3.839 12.400 Å, 90.00 90.00 90.00°
Space group I4mm (No. 107)
Unique sites:
Nd 0.000 0.000 0.000 [2 per cell]
U 0.000 0.000 0.710 [2 per cell]
As 0.000 0.000 0.356 [2 per cell]
O 0.000 0.500 0.118 [4 per cell]

# 5
Density functional theory data (GGA-PBE) for a geometry-optimized NaTl8Sb2 structure.

## Properties
E_tot ... -2.54 eV per atom
Raw formation energy ... 0.054 eV per atom

Cell: 13.068 10.582 5.552 Å, 90.00 101.71 90.00°
Space group C2/m (No. 12)
Unique sites:
Na 0.000 0.000 0.000 [2 per cell]
Tl 0.081 0.268 0.790 [8 per cell]
Tl 0.100 0.500 0.309 [4 per cell]
Tl 0.245 0.500 0.882 [4 per cell]
Sb 0.120 0.000 0.555 [4 per cell]

# 6
Density functional theory data (GGA-PBE) for a geometry-optimized DyZr2Tl2Te6 structure.

## Properties
E_tot ... -4.97 eV per atom
Raw formation energy ... -0.851 eV per atom

Cell: 7.219 12.512 8.729 Å, 90.00 105.43 90.00°
Space group C2/m (No. 12)
Unique sites:
Dy 0.000 0.000 0.000 [2 per cell]
Zr 0.000 0.332 0.000 [4 per cell]
Tl 0.000 0.161 0.500 [4 per cell]
Te 0.218 0.500 0.210 [4 per cell]
Te 0.241 0.172 0.211 [8 per cell]

# 7
Density functional theory data (GGA-PBE) for a geometry-optimized Pm2Nd4Ho2Tm structure.

## Properties
Calculated formation energy ... 19 kJ/mol of formula units
E_tot ... -4.67 eV per atom

Cell: 15.390 5.128 8.063 Å, 90.00 108.60 90.00°
Space group C2/m (No. 12)
Unique sites:
Pm 0.112 0.000 0.170 [4 per cell]
Nd 0.055 0.500 0.830 [4 per cell]
Nd 0.222 0.000 0.830 [4 per cell]
Ho 0.166 0.500 0.500 [4 per cell]
Tm 0.000 0.000 0.500 [2 per cell]

# 8
Density functional theory data (GGA-PBE) for a geometry-optimized La2TaRh2 structure.

## Properties
Calculated formation energy ... -176 kJ/mol of formula units
E_tot ... -7.65 eV per atom

Cell: 6.943 6.943 4.765 Å, 90.00 90.00 90.00°
Space group P4/mbm (No. 127)
Unique sites:
La 0.170 0.330 0.000 [4 per cell]
Ta 0.000 0.000 0.500 [2 per cell]
Rh 0.148 0.648 0.500 [4 per cell]

Q: What is the E_tot in the sixth record?
A: -4.97 eV per atom

Q: Look up the E_tot of the seventh one.
A: -4.67 eV per atom